(1)
A plane-wave DFT calculation with PBE was carried out for an optimized crystal structure of Cr2ReCl.

Geometry as extended XYZ:
```
4
Lattice="3.9657 0.0118 0.0187 2.9047 2.7000 0.0187 3.3689 1.3297 6.6387" Properties=species:S:1:pos:R:3 pbc="T T T"
Cr 0.7205 0.2844 0.3922
Re 2.5598 1.0104 1.6690
Cl 7.6795 3.0312 5.0071
Cr 4.3991 1.7364 2.9459
```

Computed properties:
D(E_F)	2.75	states/eV/cell
calculated volume	17.665	Å³ per atom
energy above the most stable polymorph in this dataset	259	meV/atom
energy relative to the elements, uncorrected	1.70	eV/f.u.

***

(2)
A plane-wave DFT calculation with PBE was carried out for an optimized crystal structure of MnRuW4.

Geometry as extended XYZ:
```
6
Lattice="-4.4519 -0.5544 2.6433 -4.3396 -1.4522 -2.4846 -1.9860 -4.7486 0.7878" Properties=species:S:1:pos:R:3 pbc="T T T"
W -6.7238 -4.2144 0.5905
W -4.5179 -3.9396 -0.7192
W -5.7397 -1.8615 0.2002
Mn -2.6944 -1.6888 0.2366
Ru 0.0000 0.0000 0.0000
W -4.5736 -3.4948 1.8216
```

Computed properties:
D(E_F)	5.58	states/eV/cell
calculated volume	16.639	Å³ per atom
formation enthalpy at 0 K	0.541	eV per atom

***

(3)
A plane-wave DFT calculation with PBE was carried out for an optimized crystal structure of Sc3GaRe.

Geometry as extended XYZ:
```
5
Lattice="-1.8906 2.4315 -3.8133 -3.0784 -3.7197 -0.8456 -3.3131 2.0687 2.9617" Properties=species:S:1:pos:R:3 pbc="T T T"
Sc -1.5392 -1.8598 -0.4228
Sc -0.9453 1.2157 -1.9066
Sc -1.6565 1.0343 1.4808
Re -4.1410 0.3902 -0.8486
Ga 0.0000 0.0000 0.0000
```

Computed properties:
D(E_F)	10.65	states/eV/cell
calculated volume	23.555	Å³ per atom
formation enthalpy at 0 K	0.877	eV per atom
energy above the most stable polymorph in this dataset	591	meV/atom

***

(4)
A plane-wave DFT calculation with PBE was carried out for an optimized crystal structure of NbV2Si.

Geometry as extended XYZ:
```
4
Lattice="3.2316 0.0000 0.0000 0.0000 3.2316 0.0000 0.0000 0.0000 5.5783" Properties=species:S:1:pos:R:3 pbc="T T T"
Si 1.6158 1.6158 2.7892
Nb 1.6158 1.6158 0.0000
V 0.0000 0.0000 1.5616
V 0.0000 0.0000 4.0168
```

Computed properties:
D(E_F)	3.18	states/eV/cell
calculated volume	14.564	Å³ per atom
energy relative to the elements, uncorrected	-1.24	eV/f.u.

***

(5)
A plane-wave DFT calculation with PBE was carried out for an optimized crystal structure of NaLaTi2.

Geometry as extended XYZ:
```
8
Lattice="-3.9357 1.6129 -0.0948 -1.6127 -3.9368 -0.0259 -3.0239 -1.1314 10.8246" Properties=species:S:1:pos:R:3 pbc="T T T"
Ti -3.4455 0.2447 2.6430
Na -3.7054 -3.1150 5.3692
La 0.0000 0.0000 0.0000
Ti -4.3370 -1.6918 8.0734
Ti -7.1343 -2.9101 8.0126
Ti -2.2277 -2.5533 2.6788
Na -2.7742 -1.1619 -0.0604
La -4.8669 -0.3402 5.3347
```

Computed properties:
D(E_F)	18.84	states/eV/cell
calculated volume	24.634	Å³ per atom
formation enthalpy at 0 K	0.828	eV per atom

***

(6)
A plane-wave DFT calculation with PBE was carried out for an optimized crystal structure of TbInBr4.

Geometry as extended XYZ:
```
6
Lattice="-1.3587 -2.1971 3.4053 5.0243 -4.0074 -3.2737 4.6674 4.8491 4.9912" Properties=species:S:1:pos:R:3 pbc="T T T"
Tb 9.6914 0.8417 1.7175
Br 4.5576 2.1066 5.8596
In 1.6558 1.3268 4.1986
Br 5.8501 -1.6714 3.9282
Br 2.4823 0.3159 1.1943
Br 3.7741 -3.4624 -0.7373
```

Computed properties:
D(E_F)	0.00	states/eV/cell
calculated volume	40.156	Å³ per atom
energy relative to the elements, uncorrected	-8.75	eV/f.u.

***

(7)
A plane-wave DFT calculation with PBE was carried out for an optimized crystal structure of MnAl2Br.

Geometry as extended XYZ:
```
4
Lattice="5.7531 -0.0180 0.0386 4.9333 2.9601 0.0386 0.8878 0.2444 4.5122" Properties=species:S:1:pos:R:3 pbc="T T T"
Br 8.6807 2.3899 3.4421
Mn 2.8936 0.7966 1.1474
Al 10.3112 2.8388 0.1482
Al 6.1623 1.6966 2.2238
```

Computed properties:
D(E_F)	1.92	states/eV/cell
calculated volume	19.283	Å³ per atom
energy above the most stable polymorph in this dataset	224	meV/atom
energy relative to the elements, uncorrected	1.07	eV/f.u.

***

(8)
A plane-wave DFT calculation with PBE was carried out for an optimized crystal structure of TaPdPbO6.

Geometry as extended XYZ:
```
18
Lattice="5.2938 0.0000 0.0000 -2.6469 4.5846 0.0000 0.0000 0.0000 10.0908" Properties=species:S:1:pos:R:3 pbc="T T T"
Pb 0.0000 0.0000 0.0000
Pd 2.6469 1.5282 2.5227
Ta 2.6469 1.5282 7.5681
O 1.6669 2.9264 1.4148
O 4.3139 1.6582 6.4602
O 1.9261 0.0196 6.4602
Pd 0.0000 3.0564 7.5681
Pb 0.0000 0.0000 5.0454
O 3.5930 2.9068 8.6760
O -0.7209 4.5650 1.4148
Ta 0.0000 3.0564 2.5227
O 0.9461 1.6778 3.6306
O 3.3678 0.0196 8.6760
O 1.7009 2.9068 6.4602
O -0.9461 1.6778 1.4148
O 0.7209 4.5650 3.6306
O -1.6669 2.9264 3.6306
O 0.9800 1.6582 8.6760
```

Computed properties:
D(E_F)	6.96	states/eV/cell
calculated volume	13.606	Å³ per atom
energy relative to the elements, uncorrected	-12.99	eV/f.u.

***

(9)
A plane-wave DFT calculation with PBE was carried out for an optimized crystal structure of Zn2BiN3.

Geometry as extended XYZ:
```
12
Lattice="-4.8189 0.3656 -3.4877 -0.2487 -2.9158 5.1919 -1.5123 4.7332 2.5857" Properties=species:S:1:pos:R:3 pbc="T T T"
N -4.5359 4.2807 -0.0149
N -2.3864 -1.0264 4.8899
Zn -3.9361 2.5648 -0.9795
N -2.9789 3.3535 2.8363
N -1.5539 2.1396 5.6486
Zn -0.9539 0.4237 4.6841
N -4.0040 0.0906 2.1425
Zn -6.3698 4.0872 0.8775
Zn -3.3877 1.9461 6.5411
N -5.3684 1.1146 -0.7735
Bi -4.9701 2.9199 3.7208
Bi -2.3257 1.5035 1.7930
```

Computed properties:
D(E_F)	0.96	states/eV/cell
calculated volume	14.300	Å³ per atom
energy relative to the elements, uncorrected	2.54	eV/f.u.

***

(10)
A plane-wave DFT calculation with PBE was carried out for an optimized crystal structure of Cd4Pd3Pt.

Geometry as extended XYZ:
```
8
Lattice="-1.0034 -2.6008 -0.7714 3.4738 -2.4994 3.9087 -7.5849 3.2024 4.4916" Properties=species:S:1:pos:R:3 pbc="T T T"
Pd 1.7369 -1.2497 1.9544
Pd -2.1062 -2.2069 4.7577
Pd -3.0084 0.3090 2.8712
Cd -5.5767 1.0910 3.5757
Cd -1.2178 -1.7800 2.1631
Cd 0.4621 -2.9888 4.0533
Pt -0.5017 -1.3004 -0.3857
Cd -3.8967 -0.1178 5.4659
```

Computed properties:
D(E_F)	4.01	states/eV/cell
calculated volume	18.444	Å³ per atom
formation enthalpy at 0 K	-0.148	eV per atom
energy above the most stable polymorph in this dataset	226	meV/atom

***

(11)
A plane-wave DFT calculation with PBE was carried out for an optimized crystal structure of Tl4Te2Ru.

Geometry as extended XYZ:
```
7
Lattice="-4.8164 -1.9467 -1.2298 2.3026 -4.0591 -2.5926 -1.2415 -7.2852 4.8070" Properties=species:S:1:pos:R:3 pbc="T T T"
Tl 1.1513 -2.0296 -1.2963
Tl -2.5087 -7.4359 -1.5789
Tl -1.2466 -5.8552 2.5635
Te -1.2522 -4.3223 0.1588
Ru 0.0000 0.0000 0.0000
Tl -2.4082 -0.9734 -0.6149
Te -2.5031 -8.9687 0.8259
```

Computed properties:
D(E_F)	7.90	states/eV/cell
calculated volume	32.437	Å³ per atom
energy relative to the elements, uncorrected	0.74	eV/f.u.

***

(12)
A plane-wave DFT calculation with PBE was carried out for an optimized crystal structure of Al5Ni.

Geometry as extended XYZ:
```
12
Lattice="-0.5902 -2.5732 2.5029 -0.0651 -3.5541 -6.2764 7.3989 -1.1425 0.5702" Properties=species:S:1:pos:R:3 pbc="T T T"
Al 0.1900 -3.0969 -3.1168
Al 3.0581 -3.5398 -2.8958
Ni 1.3741 -3.9927 -1.1138
Al 3.6854 -3.7299 -0.3075
Al -0.2951 -1.2866 1.2515
Al 4.9849 -5.7754 -2.1060
Al 1.7586 -1.4943 -1.0973
Al 5.4959 -1.5698 -0.3100
Al 1.2476 -5.6999 -2.8933
Al 3.4043 -1.8578 1.5366
Ni 5.3694 -3.2770 -2.0895
Al 6.5535 -4.1728 -0.0865
```

Computed properties:
D(E_F)	5.13	states/eV/cell
calculated volume	15.902	Å³ per atom
formation enthalpy at 0 K	-0.207	eV per atom

***

- What is the calculated volume in the tenth record?
  18.444 Å³ per atom